# 1
MgAs2P2 | PBE | relaxed

Results
offset from the most stable computed form	6	meV/atom
magnetic moment	0.0	μB per formula unit
energy relative to the elements	0.101	eV/atom

```
data_MgAs2P2
_cell_length_a 4.7339
_cell_length_b 4.7339
_cell_length_c 5.8959
_cell_angle_alpha 90.00
_cell_angle_beta 90.00
_cell_angle_gamma 120.00
_space_group_name_H-M_alt 'P -3 m 1'
_space_group_IT_number 164
_space_group_name_Hall '-P 3 2"'
loop_
_atom_site_label
_atom_site_type_symbol
_atom_site_fract_x
_atom_site_fract_y
_atom_site_fract_z
_atom_site_occupancy
Mg1 Mg 0.0000 0.0000 0.0000 1
As1 As 0.3333 0.6667 0.2211 1
P1 P 0.3333 0.6667 0.8259 1
```

# 2
ZnNiAgSn | PBE | relaxed

Results
magnetic moment	0.0	μB per formula unit
energy relative to the elements	0.048	eV/atom

```
data_ZnNiAgSn
_cell_length_a 6.4220
_cell_length_b 6.4220
_cell_length_c 6.4220
_cell_angle_alpha 90.00
_cell_angle_beta 90.00
_cell_angle_gamma 90.00
_space_group_name_H-M_alt 'F -4 3 m'
_space_group_IT_number 216
_space_group_name_Hall 'F -4 2 3'
loop_
_atom_site_label
_atom_site_type_symbol
_atom_site_fract_x
_atom_site_fract_y
_atom_site_fract_z
_atom_site_occupancy
Zn1 Zn 0.0000 0.0000 0.0000 1
Ni1 Ni 0.2500 0.2500 0.7500 1
Ag1 Ag 0.2500 0.2500 0.2500 1
Sn1 Sn 0.0000 0.0000 0.5000 1
```

# 3
Te2MoRu | PBE | relaxed

Results
uncorrected formation energy	1.23	eV per formula unit
offset from the most stable computed form	270	meV/atom
magnetic moment	0.0	μB per formula unit

```
data_Te2MoRu
_cell_length_a 9.8849
_cell_length_b 3.3691
_cell_length_c 4.6163
_cell_angle_alpha 90.00
_cell_angle_beta 102.02
_cell_angle_gamma 90.00
_space_group_name_H-M_alt 'C 1 m 1'
_space_group_IT_number 8
_space_group_name_Hall 'C -2y'
loop_
_atom_site_label
_atom_site_type_symbol
_atom_site_fract_x
_atom_site_fract_y
_atom_site_fract_z
_atom_site_occupancy
Te1 Te 0.0000 0.0000 0.0000 1
Te2 Te 0.2434 0.0000 0.5927 1
Mo1 Mo 0.0119 0.5000 0.4865 1
Ru1 Ru 0.2410 0.5000 0.0984 1
```

# 4
Co2MoAs | PBE | relaxed

Results
magnetic moment	0.1	μB per formula unit
energy relative to the elements	0.035	eV/atom

```
data_Co2MoAs
_cell_length_a 2.8381
_cell_length_b 3.5679
_cell_length_c 5.1240
_cell_angle_alpha 90.00
_cell_angle_beta 90.00
_cell_angle_gamma 90.00
_space_group_name_H-M_alt 'P m m m'
_space_group_IT_number 47
_space_group_name_Hall '-P 2 2'
loop_
_atom_site_label
_atom_site_type_symbol
_atom_site_fract_x
_atom_site_fract_y
_atom_site_fract_z
_atom_site_occupancy
Co1 Co 0.0000 0.0000 0.2456 1
Mo1 Mo 0.5000 0.5000 0.0000 1
As1 As 0.5000 0.5000 0.5000 1
```

# 5
Lu3Sc | PBE | relaxed

Results
offset from the most stable computed form	1	meV/atom
magnetic moment	0.1	μB per formula unit
energy relative to the elements	0.009	eV/atom

```
data_Lu3Sc
_cell_length_a 6.9486
_cell_length_b 6.9486
_cell_length_c 5.4007
_cell_angle_alpha 90.00
_cell_angle_beta 90.00
_cell_angle_gamma 120.00
_space_group_name_H-M_alt 'P 63/m m c'
_space_group_IT_number 194
_space_group_name_Hall '-P 6c 2c'
loop_
_atom_site_label
_atom_site_type_symbol
_atom_site_fract_x
_atom_site_fract_y
_atom_site_fract_z
_atom_site_occupancy
Lu1 Lu 0.1683 0.3367 0.2500 1
Sc1 Sc 0.3333 0.6667 0.7500 1
```

# 6
La2CoAgN | PBE | relaxed

Results
uncorrected formation energy	-2.98	eV per formula unit
magnetic moment	0.0	μB per formula unit

```
data_La2CoAgN
_cell_length_a 5.3400
_cell_length_b 5.3400
_cell_length_c 3.6238
_cell_angle_alpha 90.00
_cell_angle_beta 90.00
_cell_angle_gamma 90.00
_space_group_name_H-M_alt 'P 4/m m m'
_space_group_IT_number 123
_space_group_name_Hall '-P 4 2'
loop_
_atom_site_label
_atom_site_type_symbol
_atom_site_fract_x
_atom_site_fract_y
_atom_site_fract_z
_atom_site_occupancy
La1 La 0.0000 0.5000 0.0000 1
Co1 Co 0.0000 0.0000 0.5000 1
Ag1 Ag 0.5000 0.5000 0.5000 1
N1 N 0.0000 0.0000 0.0000 1
```

# 7
Ga5Si2Ni12 | PBE | relaxed

Results
uncorrected formation energy	-5.84	eV per formula unit
magnetic moment	0.0	μB per formula unit

```
data_Ga5Si2Ni12
_cell_length_a 11.0683
_cell_length_b 7.0738
_cell_length_c 5.8963
_cell_angle_alpha 90.00
_cell_angle_beta 92.37
_cell_angle_gamma 90.00
_space_group_name_H-M_alt 'C 1 2/m 1'
_space_group_IT_number 12
_space_group_name_Hall '-C 2y'
loop_
_atom_site_label
_atom_site_type_symbol
_atom_site_fract_x
_atom_site_fract_y
_atom_site_fract_z
_atom_site_occupancy
Ga1 Ga 0.0000 0.0000 0.0000 1
Ga2 Ga 0.1940 0.5000 0.4519 1
Ga3 Ga 0.2463 0.0000 0.0794 1
Si1 Si 0.0000 0.2655 0.5000 1
Ni1 Ni 0.0527 0.5000 0.7604 1
Ni2 Ni 0.0980 0.0000 0.3830 1
Ni3 Ni 0.1070 0.2958 0.1313 1
Ni4 Ni 0.1576 0.1847 0.7459 1
```

# 8
RbTl2GaNi | PBE | relaxed

Results
magnetic moment	0.0	μB per formula unit
energy relative to the elements	0.031	eV/atom

```
data_RbTl2GaNi
_cell_length_a 5.3123
_cell_length_b 5.3123
_cell_length_c 4.8623
_cell_angle_alpha 90.00
_cell_angle_beta 90.00
_cell_angle_gamma 90.00
_space_group_name_H-M_alt 'P 4/m m m'
_space_group_IT_number 123
_space_group_name_Hall '-P 4 2'
loop_
_atom_site_label
_atom_site_type_symbol
_atom_site_fract_x
_atom_site_fract_y
_atom_site_fract_z
_atom_site_occupancy
Rb1 Rb 0.0000 0.0000 0.0000 1
Tl1 Tl 0.0000 0.5000 0.5000 1
Ga1 Ga 0.5000 0.5000 0.0000 1
Ni1 Ni 0.5000 0.5000 0.5000 1
```

# 9
TmTlS | PBE | relaxed

Results
uncorrected formation energy	-3.03	eV per formula unit
magnetic moment	0.0	μB per formula unit

```
data_TmTlS
_cell_length_a 4.4242
_cell_length_b 4.4242
_cell_length_c 28.6586
_cell_angle_alpha 90.00
_cell_angle_beta 90.00
_cell_angle_gamma 120.00
_space_group_name_H-M_alt 'R -3 m'
_space_group_IT_number 166
_space_group_name_Hall '-R 3 2"'
loop_
_atom_site_label
_atom_site_type_symbol
_atom_site_fract_x
_atom_site_fract_y
_atom_site_fract_z
_atom_site_occupancy
Tm1 Tm 0.0000 0.0000 0.1070 1
Tl1 Tl 0.0000 0.0000 0.3621 1
S1 S 0.0000 0.0000 0.2034 1
```

# 10
FeSb2TeN | PBE | relaxed

Results
uncorrected formation energy	4.54	eV per formula unit
offset from the most stable computed form	0	meV/atom
magnetic moment	2.7	μB per formula unit

```
data_FeSb2TeN
_cell_length_a 4.6342
_cell_length_b 4.6342
_cell_length_c 4.5533
_cell_angle_alpha 90.00
_cell_angle_beta 90.00
_cell_angle_gamma 90.00
_space_group_name_H-M_alt 'P 4/m m m'
_space_group_IT_number 123
_space_group_name_Hall '-P 4 2'
loop_
_atom_site_label
_atom_site_type_symbol
_atom_site_fract_x
_atom_site_fract_y
_atom_site_fract_z
_atom_site_occupancy
Fe1 Fe 0.0000 0.0000 0.0000 1
Sb1 Sb 0.0000 0.5000 0.5000 1
Te1 Te 0.5000 0.5000 0.0000 1
N1 N 0.5000 0.5000 0.5000 1
```

# 11
TmAgCl4 | PBE | relaxed

Results
uncorrected formation energy	-9.88	eV per formula unit
offset from the most stable computed form	2	meV/atom
magnetic moment	0.0	μB per formula unit

```
data_TmAgCl4
_cell_length_a 8.2942
_cell_length_b 16.2022
_cell_length_c 6.6198
_cell_angle_alpha 90.00
_cell_angle_beta 125.29
_cell_angle_gamma 90.00
_space_group_name_H-M_alt 'C 1 2/c 1'
_space_group_IT_number 15
_space_group_name_Hall '-C 2yc'
loop_
_atom_site_label
_atom_site_type_symbol
_atom_site_fract_x
_atom_site_fract_y
_atom_site_fract_z
_atom_site_occupancy
Tm1 Tm 0.0000 0.0688 0.2500 1
Ag1 Ag 0.0000 0.3332 0.7500 1
Cl1 Cl 0.2024 0.1850 0.2311 1
Cl2 Cl 0.2219 0.0459 0.7304 1
```

# 12
MgBe5 | PBE | relaxed

Results
offset from the most stable computed form	0	meV/atom
magnetic moment	0.0	μB per formula unit
energy relative to the elements	0.056	eV/atom

```
data_MgBe5
_cell_length_a 4.4302
_cell_length_b 4.4302
_cell_length_c 3.5663
_cell_angle_alpha 90.00
_cell_angle_beta 90.00
_cell_angle_gamma 120.00
_space_group_name_H-M_alt 'P 6/m m m'
_space_group_IT_number 191
_space_group_name_Hall '-P 6 2'
loop_
_atom_site_label
_atom_site_type_symbol
_atom_site_fract_x
_atom_site_fract_y
_atom_site_fract_z
_atom_site_occupancy
Mg1 Mg 0.0000 0.0000 0.0000 1
Be1 Be 0.0000 0.5000 0.5000 1
Be2 Be 0.3333 0.6667 0.0000 1
```

Number 1: N(E_F) 2.08 states/eV per cell, calculated total energy -4.2413 eV/atom, mass density 3.43 g/cm³. Number 2: N(E_F) 10.09 states/eV per cell, calculated total energy -3.4297 eV/atom, mass density 8.79 g/cm³. Number 3: N(E_F) 6.01 states/eV per cell, calculated total energy -6.2897 eV/atom, mass density 9.99 g/cm³. Number 4: N(E_F) 3.97 states/eV per cell, calculated total energy -7.3885 eV/atom, mass density 9.24 g/cm³. Number 5: N(E_F) 15.70 states/eV per cell, calculated total energy -4.9646 eV/atom, mass density 8.38 g/cm³. Number 6: N(E_F) 4.37 states/eV per cell, calculated total energy -6.2242 eV/atom, mass density 7.37 g/cm³. Number 7: N(E_F) 24.37 states/eV per cell, calculated total energy -5.3259 eV/atom, mass density 7.99 g/cm³. Number 8: N(E_F) 3.42 states/eV per cell, calculated total energy -2.8708 eV/atom, mass density 7.54 g/cm³. Number 9: N(E_F) 8.89 states/eV per cell, calculated total energy -4.6647 eV/atom, mass density 8.31 g/cm³. Number 10: N(E_F) 4.72 states/eV per cell, calculated total energy -4.7261 eV/atom, mass density 7.49 g/cm³. Number 11: N(E_F) 0.00 states/eV per cell, calculated total energy -4.0981 eV/atom, mass density 3.83 g/cm³. Number 12: N(E_F) 1.57 states/eV per cell, calculated total energy -3.3151 eV/atom, mass density 1.90 g/cm³.